CsRbPb (PBE-GGA, optimized geometry); formation energy from the elements = 36 meV per atom; offset from the most stable computed form = 0.39 eV per formula unit
1.0
6.5750 0.0000 0.0000
-3.2875 5.6941 0.0000
0.0000 0.0000 3.8206
Cs Rb Pb
1 1 1
Cartesian
0.0000 0.0000 0.0000
0.0000 3.7961 3.4138
3.2875 1.8980 1.7626